The following is a PBE calculation of a relaxed structure of YPaRh3, from Alexandria via LeMat-Bulk.

Structure (POSCAR):
```
YPaRh3
1.0
5.001 -2.888 0.000
5.001 2.888 0.000
-3.345 0.000 7.913
Y Pa Rh
2 2 6
Direct
0.000 0.000 0.000
0.245 0.245 0.735
0.451 0.451 0.352
0.614 0.614 0.844
0.035 0.527 0.089
0.180 0.712 0.604
0.527 0.035 0.089
0.527 0.527 0.089
0.712 0.180 0.604
0.712 0.712 0.604
```

Calculated values
For the raw total energy, the calculation gives -0.302 hartree per atom. The space group is No. 8. The value obtained for the total moment is 0.0 Bohr magnetons per cell.

The following is a PBE calculation of a relaxed structure of Y4PaRh5, from Alexandria via LeMat-Bulk.

Structure (POSCAR):
```
Y4PaRh5
1.0
3.441 0.000 0.000
0.000 3.441 0.000
0.000 0.000 17.455
Y Pa Rh
4 1 5
Direct
0.000 0.000 0.099
0.000 0.000 0.296
0.000 0.000 0.704
0.000 0.000 0.901
0.000 0.000 0.500
0.500 0.500 0.000
0.500 0.500 0.200
0.500 0.500 0.412
0.500 0.500 0.588
0.500 0.500 0.800
```

Calculated values
For the raw total energy, the calculation gives -0.295 hartree per atom. The space group is No. 123. The value obtained for the total moment is 0.0 Bohr magnetons per cell.

The following is a PBE calculation of a relaxed structure of Y3PaRh3, from Alexandria via LeMat-Bulk.

Structure (POSCAR):
```
Y3PaRh3
1.0
12.104 0.000 0.000
0.000 4.107 0.000
0.000 0.000 13.390
Y Pa Rh
12 4 12
Direct
0.052 0.250 0.097
0.187 0.750 0.510
0.249 0.250 0.299
0.251 0.750 0.799
0.313 0.250 0.010
0.448 0.750 0.597
0.552 0.250 0.403
0.687 0.750 0.990
0.749 0.250 0.201
0.751 0.750 0.701
0.813 0.250 0.490
0.948 0.750 0.903
0.034 0.250 0.683
0.466 0.750 0.183
0.534 0.250 0.817
0.966 0.750 0.317
0.045 0.250 0.425
0.105 0.250 0.871
0.243 0.750 0.150
0.257 0.250 0.650
0.395 0.750 0.371
0.455 0.750 0.925
0.545 0.250 0.075
0.605 0.250 0.629
0.743 0.750 0.350
0.757 0.250 0.850
0.895 0.750 0.129
0.955 0.750 0.575
```

Calculated values
For the raw total energy, the calculation gives -0.292 hartree per atom. The space group is No. 62. The value obtained for the total moment is 0.0 Bohr magnetons per cell.

The following is a PBE calculation of a relaxed structure of YPaRh, from Alexandria via LeMat-Bulk.

Structure (POSCAR):
```
YPaRh
1.0
0.000 4.948 4.480
3.184 0.000 4.480
3.184 4.948 0.000
Y Pa Rh
2 2 2
Direct
0.000 0.000 0.000
0.250 0.250 0.250
0.613 0.613 0.387
0.863 0.863 0.637
0.334 0.334 0.666
0.584 0.584 0.916
```

Calculated values
For the raw total energy, the calculation gives -0.298 hartree per atom. The space group is No. 43. The value obtained for the total moment is 0.0 Bohr magnetons per cell.

The following is a PBE calculation of a relaxed structure of YPa2Rh, from Alexandria via LeMat-Bulk.

Structure (POSCAR):
```
YPa2Rh
1.0
3.575 0.000 0.000
-1.787 3.096 0.000
0.000 0.000 28.049
Y Pa Rh
3 6 3
Direct
0.000 0.000 0.000
0.333 0.667 0.667
0.667 0.333 0.333
0.000 0.000 0.234
0.000 0.000 0.766
0.333 0.667 0.433
0.333 0.667 0.900
0.667 0.333 0.100
0.667 0.333 0.567
0.000 0.000 0.500
0.333 0.667 0.167
0.667 0.333 0.833
```

Calculated values
For the raw total energy, the calculation gives -0.305 hartree per atom. The space group is No. 166. The value obtained for the total moment is 0.0 Bohr magnetons per cell.

The following is a PBE calculation of a relaxed structure of Y2Pa2Rh3, from Alexandria via LeMat-Bulk.

Structure (POSCAR):
```
Y2Pa2Rh3
1.0
13.853 0.000 0.000
0.000 3.977 0.000
-0.071 0.000 5.912
Y Pa Rh
4 4 6
Direct
0.147 0.000 0.117
0.353 0.500 0.883
0.647 0.500 0.117
0.853 0.000 0.883
0.093 0.500 0.605
0.407 0.000 0.395
0.593 0.000 0.605
0.907 0.500 0.395
0.000 0.500 0.000
0.220 0.000 0.653
0.280 0.500 0.347
0.500 0.000 0.000
0.720 0.500 0.653
0.780 0.000 0.347
```

Calculated values
For the raw total energy, the calculation gives -0.306 hartree per atom. The space group is No. 12. The value obtained for the total moment is 0.0 Bohr magnetons per cell.

The following is a PBE calculation of a relaxed structure of YPaZnRh, from Alexandria via LeMat-Bulk.

Structure (POSCAR):
```
YPaZnRh
1.0
7.002 0.000 0.000
0.000 7.002 0.000
0.000 0.000 7.002
Y Pa Zn Rh
4 4 4 4
Direct
0.000 0.000 0.000
0.000 0.500 0.500
0.500 0.000 0.500
0.500 0.500 0.000
0.000 0.000 0.500
0.000 0.500 0.000
0.500 0.000 0.000
0.500 0.500 0.500
0.250 0.250 0.750
0.250 0.750 0.250
0.750 0.250 0.250
0.750 0.750 0.750
0.250 0.250 0.250
0.250 0.750 0.750
0.750 0.250 0.750
0.750 0.750 0.250
```

Calculated values
For the raw total energy, the calculation gives -0.238 hartree per atom. The space group is No. 216. The value obtained for the total moment is 0.0 Bohr magnetons per cell.

The following is a PBE calculation of a relaxed structure of PaZn4Rh, from Alexandria via LeMat-Bulk.

Structure (POSCAR):
```
PaZn4Rh
1.0
0.000 3.690 3.690
3.690 0.000 3.690
3.690 3.690 0.000
Pa Zn Rh
1 4 1
Direct
0.000 0.000 0.000
0.129 0.624 0.624
0.624 0.129 0.624
0.624 0.624 0.129
0.624 0.624 0.624
0.250 0.250 0.250
```

Calculated values
For the raw total energy, the calculation gives -0.139 hartree per atom. The space group is No. 216. The value obtained for the total moment is 1.5 Bohr magnetons per cell.